An optimized crystal structure of Tb2Sm4Y, computed with PBE.

Calculated values
DFT formation energy ... 124 meV per atom
M_tot ... 0.00 μB/cell
Volume ... 463.7 Å³ per cell
E above lowest polymorph ... 0.000 eV/atom
VASP energy ... -4.819 eV per atom

```
Tb2Sm4Y
1.0
-2.6871 -5.0172 2.5085
4.5981 -3.8646 -2.8040
7.7367 3.4329 7.9558
Sm Y Tb
8 2 4
Direct
0.0376 0.7500 0.8614
0.3488 0.4907 0.7138
0.6512 0.9907 0.2862
0.1495 0.7500 0.4503
0.8505 0.2500 0.5497
0.9624 0.2500 0.1386
0.6512 0.5093 0.2862
0.3488 0.0093 0.7138
0.8495 0.2500 0.8376
0.1505 0.7500 0.1624
0.3930 0.2500 0.0071
0.2895 0.2500 0.4236
0.7105 0.7500 0.5764
0.6070 0.7500 0.9929
```

***

An optimized crystal structure of TbSm3Y3, computed with PBE.

Calculated values
DFT formation energy ... 233 meV per atom
M_tot ... 0.00 μB/cell
Volume ... 236.7 Å³ per cell
E above lowest polymorph ... 0.075 eV/atom
VASP energy ... -5.222 eV per atom

```
TbSm3Y3
1.0
-7.3916 -3.6900 0.7106
4.9321 -3.1936 2.4662
0.5164 5.7117 2.7778
Y Sm Tb
3 3 1
Direct
0.0154 0.5993 0.5993
0.4161 0.0000 0.4007
0.4161 0.4007 0.0000
0.9730 0.3550 0.0000
0.9730 0.0000 0.3550
0.6180 0.6450 0.6450
0.5634 0.0000 0.0000
```

***

An optimized crystal structure of Tb6Sm12Y, computed with PBE.

Calculated values
DFT formation energy ... 237 meV per atom
M_tot ... 0.00 μB/cell
Volume ... 658.5 Å³ per cell
E above lowest polymorph ... 0.095 eV/atom
VASP energy ... -4.546 eV per atom

```
Tb6Sm12Y
1.0
-3.0171 0.0086 8.7159
2.4929 -8.6665 -1.9355
7.7027 5.0711 -0.1455
Sm Y Tb
12 1 6
Direct
0.8252 0.2801 0.1341
0.1917 0.5804 0.4834
0.5166 0.8083 0.4196
0.1341 0.8252 0.2801
0.8659 0.1748 0.7199
0.4834 0.1917 0.5804
0.5804 0.4834 0.1917
0.7199 0.8659 0.1748
0.2801 0.1341 0.8252
0.1748 0.7199 0.8659
0.8083 0.4196 0.5166
0.4196 0.5166 0.8083
0.0000 0.0000 0.0000
0.9223 0.8099 0.5464
0.0777 0.1901 0.4536
0.8099 0.5464 0.9223
0.5464 0.9223 0.8099
0.1901 0.4536 0.0777
0.4536 0.0777 0.1901
```

***

An optimized crystal structure of Tb4Sm3Y3, computed with PBE.

Calculated values
DFT formation energy ... 83 meV per atom
M_tot ... 0.00 μB/cell
Volume ... 330.3 Å³ per cell
VASP energy ... -5.124 eV per atom

```
Tb4Sm3Y3
1.0
3.7195 0.0000 0.0000
0.0000 9.4233 -0.0594
0.0000 0.0235 9.4234
Tb Sm Y
4 3 3
Direct
0.0000 0.1269 0.1262
0.0000 0.8738 0.8731
0.0000 0.6273 0.3727
0.0000 0.3736 0.6264
0.5000 0.6722 0.6725
0.5000 0.3275 0.3278
0.5000 0.8281 0.1719
0.5000 0.1726 0.8274
0.0000 0.4966 0.9986
0.0000 0.0014 0.5034
```

***

An optimized crystal structure of TbSm2Y3, computed with PBE.

Calculated values
DFT formation energy ... 150 meV per atom
M_tot ... 0.00 μB/cell
Volume ... 401.1 Å³ per cell
E above lowest polymorph ... 0.035 eV/atom
VASP energy ... -5.427 eV per atom

```
TbSm2Y3
1.0
-0.3639 -5.9554 -0.8838
5.1938 -8.3646 -7.4212
7.1050 -9.8780 1.9899
Y Tb Sm
6 2 4
Direct
0.0555 0.1504 0.3168
0.2500 0.3908 0.6092
0.7500 0.6092 0.3908
0.4445 0.6832 0.8496
0.5555 0.3168 0.1504
0.9445 0.8496 0.6832
0.0000 0.0000 0.0000
0.5000 0.0000 0.0000
0.8483 0.8529 0.4134
0.3483 0.4134 0.8529
0.6517 0.5866 0.1471
0.1517 0.1471 0.5866
```

***

An optimized crystal structure of TbSm2Y7, computed with PBE.

Calculated values
DFT formation energy ... 207 meV per atom
M_tot ... 0.00 μB/cell
Volume ... 331.8 Å³ per cell
E above lowest polymorph ... 0.000 eV/atom
VASP energy ... -5.725 eV per atom

```
TbSm2Y7
1.0
-2.5808 -0.8132 2.1601
-8.2022 -4.9187 -11.6521
9.8862 -1.3600 11.2985
Y Sm Tb
7 2 1
Direct
0.4998 0.3426 0.1445
0.5002 0.6574 0.8555
0.4998 0.1445 0.3426
0.5000 0.5000 0.5000
0.0000 0.3112 0.6888
0.5002 0.8555 0.6574
0.0000 0.6888 0.3112
0.5000 0.2066 0.7934
0.5000 0.7934 0.2066
0.0000 0.0000 0.0000
```

***

An optimized crystal structure of Tb7SmY4, computed with PBE.

Calculated values
DFT formation energy ... -2 meV per atom
M_tot ... 0.00 μB/cell
Volume ... 387.4 Å³ per cell
E above lowest polymorph ... 0.000 eV/atom
VASP energy ... -5.251 eV per atom

```
Tb7SmY4
1.0
-3.1757 -5.9273 2.5725
2.2280 -7.7008 5.1367
-0.2263 3.6384 8.0934
Y Tb Sm
4 7 1
Direct
0.7213 0.7786 0.6661
0.2787 0.2214 0.3339
0.5299 0.7201 0.3342
0.4701 0.2799 0.6658
0.2211 0.7790 0.6662
0.2489 0.5008 0.0008
0.9720 0.2778 0.6661
0.0280 0.7222 0.3339
0.7789 0.2210 0.3338
0.7511 0.4992 0.9992
0.5000 0.0000 0.0000
0.0000 0.0000 0.0000
```

***

An optimized crystal structure of Tb3Sm12Y5, computed with PBE.

Calculated values
DFT formation energy ... 1032 meV per atom
M_tot ... 0.13 μB/cell
Volume ... 3392.7 Å³ per cell
VASP energy ... -4.110 eV per atom

```
Tb3Sm12Y5
1.0
-7.8014 -3.0362 14.0972
10.3448 -12.2901 -3.2783
8.4056 14.0153 1.3141
Y Sm Tb
20 48 12
Direct
0.3750 0.2500 0.1250
0.8750 0.6250 0.7500
0.0000 0.5000 0.0000
0.5000 0.5000 0.0000
0.2500 0.8750 0.1250
0.1250 0.3750 0.2500
0.6250 0.7500 0.8750
0.8750 0.2500 0.6250
0.3750 0.1250 0.7500
0.2500 0.3750 0.6250
0.5000 0.0000 0.0000
0.5000 0.0000 0.5000
0.7500 0.6250 0.3750
0.0000 0.0000 0.5000
0.0000 0.0000 0.0000
0.1250 0.7500 0.3750
0.6250 0.8750 0.2500
0.0000 0.5000 0.5000
0.5000 0.5000 0.5000
0.7500 0.1250 0.8750
0.2290 0.6537 0.0914
0.9247 0.3624 0.2710
0.5623 0.6376 0.4086
0.8463 0.9377 0.0753
0.7290 0.1376 0.0753
0.6537 0.2290 0.5914
0.9247 0.5623 0.1537
0.5753 0.2290 0.1376
0.4086 0.2710 0.3463
0.8624 0.5914 0.9377
0.0753 0.6376 0.7290
0.7710 0.4247 0.3624
0.5753 0.3463 0.9377
0.0623 0.1537 0.4247
0.5914 0.7290 0.6537
0.0753 0.4377 0.8463
0.4247 0.7710 0.8624
0.0623 0.9086 0.1376
0.4377 0.0753 0.3463
0.5623 0.9247 0.6537
0.3624 0.4377 0.0914
0.1376 0.4086 0.0623
0.5914 0.8624 0.4377
0.1537 0.0914 0.7290
0.4377 0.3624 0.5914
0.2710 0.4086 0.8463
0.6376 0.0753 0.2290
0.6537 0.4247 0.5623
0.8463 0.9086 0.2710
0.7290 0.5914 0.1537
0.7710 0.3463 0.9086
0.2710 0.8624 0.9247
0.1537 0.0623 0.9247
0.0914 0.9377 0.3624
0.9377 0.8463 0.5753
0.9086 0.8463 0.7710
0.3624 0.9247 0.7710
0.1376 0.7290 0.5753
0.6376 0.5623 0.9086
0.4247 0.6537 0.0623
0.9086 0.0623 0.6376
0.0914 0.1537 0.2290
0.9377 0.0914 0.8624
0.3463 0.7710 0.4086
0.3463 0.5753 0.4377
0.8624 0.2710 0.4247
0.4086 0.1376 0.5623
0.2290 0.5753 0.6376
0.7500 0.3750 0.1250
0.2500 0.1250 0.3750
0.8750 0.1250 0.2500
0.7500 0.8750 0.6250
0.6250 0.3750 0.7500
0.1250 0.2500 0.8750
0.6250 0.2500 0.3750
0.2500 0.6250 0.8750
0.3750 0.6250 0.2500
0.3750 0.7500 0.6250
0.8750 0.7500 0.1250
0.1250 0.8750 0.7500
```

***

An optimized crystal structure of Tb2SmY, computed with PBE.

Calculated values
DFT formation energy ... 142 meV per atom
M_tot ... 0.04 μB/cell
Volume ... 131.7 Å³ per cell
E above lowest polymorph ... 0.136 eV/atom
VASP energy ... -4.969 eV per atom

```
Tb2SmY
1.0
-0.5697 -3.6490 4.3563
-2.7330 -4.9561 -0.7651
2.9242 -4.9057 0.0168
Tb Sm Y
2 1 1
Direct
0.7500 0.7500 0.7500
0.2500 0.2500 0.2500
0.0000 0.0000 0.0000
0.5000 0.5000 0.5000
```

***

An optimized crystal structure of Tb3SmY12, computed with PBE.

Calculated values
DFT formation energy ... 22 meV per atom
M_tot ... 0.00 μB/cell
Volume ... 516.0 Å³ per cell
VASP energy ... -5.989 eV per atom

```
Tb3SmY12
1.0
-2.7819 3.7998 1.8298
-2.4805 0.2986 -4.3913
-13.6469 -13.2688 6.8066
Y Sm Tb
12 1 3
Direct
0.5000 0.5000 0.2507
0.5000 0.0000 0.6247
0.5000 0.0000 0.8742
0.0000 0.5000 0.1258
0.5000 0.5000 0.0000
0.5000 0.0000 0.1258
0.0000 0.5000 0.3753
0.0000 0.5000 0.8742
0.5000 0.0000 0.3753
0.0000 0.5000 0.6247
0.5000 0.5000 0.7493
0.5000 0.5000 0.5000
0.0000 0.0000 0.0000
0.0000 0.0000 0.5000
0.0000 0.0000 0.2505
0.0000 0.0000 0.7495
```

***

An optimized crystal structure of Tb2Sm2Y5, computed with PBE.

Calculated values
DFT formation energy ... 227 meV per atom
M_tot ... 0.00 μB/cell
Volume ... 600.9 Å³ per cell
E above lowest polymorph ... 0.166 eV/atom
VASP energy ... -5.441 eV per atom

```
Tb2Sm2Y5
1.0
11.7962 0.0000 0.0000
0.0000 6.8008 0.0000
-5.8981 -3.4004 7.4902
Sm Y Tb
4 10 4
Direct
0.0000 0.0093 0.0000
0.7392 0.8618 0.5000
0.5000 0.5093 0.0000
0.2608 0.3618 0.5000
0.3791 0.0357 0.2858
0.1915 0.1536 0.8954
0.6209 0.7499 0.7142
0.2038 0.6536 0.8954
0.8085 0.2582 0.1046
0.5933 0.2499 0.7142
0.0009 0.1509 0.5000
0.9991 0.6509 0.5000
0.4067 0.5357 0.2858
0.7962 0.7582 0.1046
0.8770 0.4310 0.7456
0.1230 0.6854 0.2544
0.3685 0.9310 0.7456
0.6315 0.1854 0.2544
```

***

An optimized crystal structure of Tb5Sm3Y4, computed with PBE.

Calculated values
DFT formation energy ... 225 meV per atom
M_tot ... 0.27 μB/cell
Volume ... 398.0 Å³ per cell
E above lowest polymorph ... 0.209 eV/atom
VASP energy ... -5.038 eV per atom

```
Tb5Sm3Y4
1.0
-3.3989 -3.0535 -3.7891
-1.6583 -7.7991 3.1233
-8.5630 4.4725 -0.5723
Tb Y Sm
5 4 3
Direct
0.7860 0.5414 0.8866
0.5000 0.5000 0.5000
0.2140 0.4586 0.1134
0.3764 0.0492 0.1979
0.6236 0.9508 0.8021
0.8588 0.2221 0.0602
0.8325 0.9569 0.3780
0.1675 0.0431 0.6220
0.1412 0.7779 0.9398
0.4770 0.3143 0.7316
0.0000 0.5000 0.5000
0.5230 0.6857 0.2684
```